# MnFeN2O

An optimized crystal structure of MnFeN2O (GGA+U, Alexandria).

Geometry as POSCAR:
```
MnFeN2O
1.0
3.7677 0.0000 0.0000
0.0000 3.7677 0.0000
0.0000 0.0000 3.8938
Mn Fe N O
1 1 2 1
direct
0.0000 0.0000 0.0000
0.5000 0.5000 0.5000
0.0000 0.5000 0.0000
0.5000 0.0000 0.0000
0.0000 0.0000 0.5000
```

Calculated total energy   -6.331 eV/atom
Space group   P4/mmm, No. 123
ρ   4.65 Mg/m³

=====

# MnFeN2O

An optimized crystal structure of MnFeN2O (GGA+U, Alexandria).

Geometry as POSCAR:
```
MnFeN2O
1.0
3.8166 0.0000 0.0000
0.0000 3.8166 0.0000
0.0000 0.0000 3.8323
Mn Fe N O
1 1 2 1
direct
0.0000 0.0000 0.0000
0.5000 0.5000 0.5000
0.0000 0.5000 0.5000
0.5000 0.0000 0.5000
0.5000 0.5000 0.0000
```

Calculated total energy   -6.374 eV/atom
Space group   P4/mmm, No. 123
ρ   4.60 Mg/m³